a | ## Cu5Ag2 (GGA-PBE)

Data for a geometry-optimized Cu5Ag2 structure.

Cell and atoms, written as extended XYZ:
```
7
Lattice="5.408 -1.379 0.000 5.408 1.379 0.000 -1.867 0.000 6.381" Properties=species:S:1:pos:R:3 pbc="T T T"
Cu 0.000 0.000 0.000
Cu 1.524 0.000 5.524
Cu 3.995 0.000 1.570
Cu 4.952 0.000 4.811
Cu 7.423 0.000 0.857
Ag 0.586 0.000 2.742
Ag 8.362 0.000 3.638
```

Summary:
Space group: C2/m (12)

=====

b | ## Cu5Ag2 (GGA-PBE)

Data for a geometry-optimized Cu5Ag2 structure.

Cell and atoms, written as extended XYZ:
```
7
Lattice="4.619 0.000 0.000 -0.800 4.573 0.000 -0.753 -0.877 4.497" Properties=species:S:1:pos:R:3 pbc="T T T"
Cu 0.000 0.000 0.000
Cu 0.741 2.529 0.609
Cu 0.793 3.316 3.292
Cu 2.273 0.380 1.205
Cu 2.325 1.167 3.888
Ag 0.056 0.821 2.586
Ag 3.009 2.875 1.911
```

Summary:
Space group: P-1 (2)

=====

Order of stability, best first: a, b

=====

a | ## K2NaFeH6 (GGA-PBE)

Data for a geometry-optimized K2NaFeH6 structure.

Cell and atoms, written as extended XYZ:
```
20
Lattice="5.541 0.000 0.000 -0.005 5.541 0.000 -0.039 -0.051 7.842" Properties=species:S:1:pos:R:3 pbc="T T T"
K 5.530 -0.011 1.959
K -0.033 5.501 5.883
K 2.754 2.758 1.958
K 2.742 2.732 5.885
Na -0.022 2.745 3.921
Na 2.771 0.000 0.000
Fe -0.003 2.771 0.000
Fe 2.751 -0.026 3.921
H 0.026 2.725 6.223
H 1.072 1.542 7.803
H 1.083 3.886 7.808
H 1.567 4.412 3.955
H 1.592 1.102 3.881
H 2.760 0.039 2.305
H 2.737 5.452 5.537
H 3.905 4.389 3.961
H 3.929 1.078 3.888
H 4.413 1.604 0.034
H 4.424 3.949 0.039
H 5.470 2.765 1.619
```

Summary:
Space group: P-1 (2)

=====

b | ## K2NaFeH6 (GGA-PBE)

Data for a geometry-optimized K2NaFeH6 structure.

Cell and atoms, written as extended XYZ:
```
10
Lattice="0.000 3.918 3.918 3.918 0.000 3.918 3.918 3.918 0.000" Properties=species:S:1:pos:R:3 pbc="T T T"
K 1.959 1.959 1.959
K 5.878 5.878 5.878
Na 0.000 0.000 0.000
Fe 3.918 3.918 3.918
H 3.918 3.918 2.300
H 3.918 2.300 3.918
H 5.537 3.918 3.918
H 2.300 3.918 3.918
H 3.918 5.537 3.918
H 3.918 3.918 5.537
```

Summary:
Space group: Fm-3m (225)

=====

Order of stability, best first: a, b

=====

a | ## ZnCdSO (GGA-PBE)

Data for a geometry-optimized ZnCdSO structure.

Cell and atoms, written as extended XYZ:
```
16
Lattice="6.124 0.000 0.000 0.000 6.639 0.000 0.000 0.000 7.303" Properties=species:S:1:pos:R:3 pbc="T T T"
Zn 0.504 1.483 0.796
Zn 2.558 5.156 4.447
Zn 3.566 1.836 6.507
Zn 5.620 4.802 2.855
Cd 0.180 2.388 4.778
Cd 2.882 4.251 1.127
Cd 3.242 0.931 2.525
Cd 5.944 5.707 6.176
S 0.820 5.759 1.223
S 2.242 0.879 4.875
S 3.882 4.199 6.079
S 5.304 2.440 2.428
O 0.680 4.573 4.460
O 2.382 2.066 0.808
O 3.742 5.385 2.843
O 5.444 1.253 6.494
```

Summary:
Space group: P2_12_12_1 (19)

=====

b | ## ZnCdSO (GGA-PBE)

Data for a geometry-optimized ZnCdSO structure.

Cell and atoms, written as extended XYZ:
```
8
Lattice="3.991 0.000 0.000 0.000 3.991 0.000 0.000 0.000 8.318" Properties=species:S:1:pos:R:3 pbc="T T T"
Zn 0.998 0.998 1.950
Zn 2.994 2.994 6.368
Cd 0.998 2.994 4.159
Cd 2.994 0.998 4.159
S 0.998 0.998 6.795
S 2.994 2.994 1.524
O 0.998 0.998 0.019
O 2.994 2.994 8.300
```

Summary:
Space group: P4/nmm (129)

=====

Order of stability, best first: a, b

=====

a | ## DyCuTe3Pb (GGA-PBE)

Data for a geometry-optimized DyCuTe3Pb structure.

Cell and atoms, written as extended XYZ:
```
24
Lattice="12.372 0.000 0.000 0.000 4.431 0.000 0.000 0.000 12.457" Properties=species:S:1:pos:R:3 pbc="T T T"
Dy 0.383 1.108 2.359
Dy 5.804 3.323 8.588
Dy 6.569 1.108 3.869
Dy 11.990 3.323 10.098
Cu 2.888 3.323 3.694
Cu 3.298 1.108 9.923
Cu 9.074 3.323 2.535
Cu 9.484 1.108 8.763
Te 0.422 3.323 4.552
Te 1.229 1.108 11.677
Te 2.676 3.323 8.588
Te 3.511 1.108 2.360
Te 4.957 3.323 5.448
Te 5.764 1.108 10.780
Te 6.608 3.323 1.677
Te 7.415 1.108 7.009
Te 8.862 3.323 10.097
Te 9.697 1.108 3.869
Te 11.144 3.323 0.781
Te 11.951 1.108 7.906
Pb 2.469 1.108 5.959
Pb 3.717 3.323 12.188
Pb 8.655 1.108 0.270
Pb 9.903 3.323 6.498
```

Summary:
Space group: Pnma (62)

=====

b | ## DyCuTe3Pb (GGA-PBE)

Data for a geometry-optimized DyCuTe3Pb structure.

Cell and atoms, written as extended XYZ:
```
12
Lattice="2.140 -7.305 0.000 2.140 7.305 0.000 0.000 0.000 11.242" Properties=species:S:1:pos:R:3 pbc="T T T"
Dy 0.000 0.000 0.000
Dy 0.000 0.000 5.621
Cu 2.140 0.471 8.431
Cu 2.140 -0.471 2.810
Te 2.140 6.117 8.431
Te 2.140 2.102 6.339
Te 2.140 2.102 10.524
Te 2.140 -2.102 0.718
Te 2.140 -2.102 4.903
Te 2.140 -6.117 2.810
Pb 2.140 3.815 2.810
Pb 2.140 -3.815 8.431
```

Summary:
Space group: Cmcm (63)

=====

Order of stability, best first: b, a

=====

a | ## Cu5Ag4 (GGA-PBE)

Data for a geometry-optimized Cu5Ag4 structure.

Cell and atoms, written as extended XYZ:
```
9
Lattice="4.433 -1.880 0.000 4.433 1.880 0.000 -2.664 0.000 7.893" Properties=species:S:1:pos:R:3 pbc="T T T"
Cu 0.000 0.000 0.000
Cu -0.851 0.000 2.549
Cu -1.742 0.000 5.385
Cu 2.788 0.000 0.878
Cu 1.021 0.000 6.264
Ag 1.932 0.000 3.558
Ag 5.339 0.000 1.736
Ag 3.617 0.000 7.065
Ag 4.515 0.000 4.476
```

Summary:
Space group: Cm (8)

=====

b | ## Cu5Ag4 (GGA-PBE)

Data for a geometry-optimized Cu5Ag4 structure.

Cell and atoms, written as extended XYZ:
```
9
Lattice="-1.400 4.103 5.749 1.400 -4.103 5.749 1.400 4.103 -5.749" Properties=species:S:1:pos:R:3 pbc="T T T"
Cu 0.000 0.000 0.000
Cu 1.400 -1.320 1.888
Cu 1.400 1.320 1.888
Cu 0.000 2.783 3.862
Cu 0.000 5.422 3.862
Ag 0.000 2.632 0.000
Ag 0.000 0.000 3.724
Ag 0.000 0.000 7.774
Ag 0.000 5.573 0.000
```

Summary:
Space group: Immm (71)

=====

Order of stability, best first: a, b

=====

a | ## TbPPdO (GGA-PBE)

Data for a geometry-optimized TbPPdO structure.

Cell and atoms, written as extended XYZ:
```
8
Lattice="3.544 0.000 0.000 0.000 7.631 0.000 0.000 0.000 5.551" Properties=species:S:1:pos:R:3 pbc="T T T"
Tb 0.000 1.736 0.000
Tb 0.000 5.895 2.775
P 0.000 3.089 2.774
P 0.000 4.542 5.550
Pd 1.772 1.637 2.774
Pd 1.772 5.993 5.550
O 1.772 0.610 5.500
O 1.772 7.021 2.725
```

Summary:
Space group: Pmc2_1 (26)

=====

b | ## TbPPdO (GGA-PBE)

Data for a geometry-optimized TbPPdO structure.

Cell and atoms, written as extended XYZ:
```
8
Lattice="5.646 0.000 0.000 0.000 5.646 0.000 0.000 0.000 4.515" Properties=species:S:1:pos:R:3 pbc="T T T"
Tb 1.412 4.235 0.000
Tb 4.235 1.412 0.000
P 1.412 1.412 0.026
P 4.235 4.235 4.490
Pd 1.412 1.412 2.283
Pd 4.235 4.235 2.233
O 1.412 4.235 2.258
O 4.235 1.412 2.258
```

Summary:
Space group: P4/nmm (129)

=====

Order of stability, best first: a, b

=====

a | ## LiPaRe (GGA-PBE)

Data for a geometry-optimized LiPaRe structure.

Cell and atoms, written as extended XYZ:
```
3
Lattice="0.000 2.993 2.993 2.993 0.000 2.993 2.993 2.993 0.000" Properties=species:S:1:pos:R:3 pbc="T T T"
Li 0.000 0.000 0.000
Pa 4.490 4.490 4.490
Re 1.497 1.497 1.497
```

Summary:
Space group: F-43m (216)

=====

b | ## LiPaRe (GGA-PBE)

Data for a geometry-optimized LiPaRe structure.

Cell and atoms, written as extended XYZ:
```
3
Lattice="0.000 3.153 3.153 3.153 0.000 3.153 3.153 3.153 0.000" Properties=species:S:1:pos:R:3 pbc="T T T"
Li 0.000 0.000 0.000
Pa 1.577 1.577 1.577
Re 3.153 3.153 3.153
```

Summary:
Space group: F-43m (216)

=====

Order of stability, best first: a, b

=====

a | ## Zn2Te (GGA-PBE)

Data for a geometry-optimized Zn2Te structure.

Cell and atoms, written as extended XYZ:
```
24
Lattice="8.275 0.000 0.000 0.000 5.172 0.000 -0.978 0.000 12.774" Properties=species:S:1:pos:R:3 pbc="T T T"
Zn 0.000 0.000 0.000
Zn -0.257 0.000 4.683
Zn -0.316 0.000 7.513
Zn -0.360 0.000 10.120
Zn -0.020 2.586 11.110
Zn 0.908 2.586 0.942
Zn 0.845 2.586 3.771
Zn 0.590 2.586 8.455
Zn 1.872 0.000 6.018
Zn 2.277 0.000 8.516
Zn 2.697 2.586 9.805
Zn 4.461 2.586 3.187
Zn 4.402 0.000 5.258
Zn 5.199 0.000 11.413
Zn 5.614 2.586 12.706
Zn 6.994 2.586 2.430
Te 1.571 0.000 2.262
Te 2.482 0.000 11.190
Te 3.002 2.586 5.335
Te 3.916 2.586 0.685
Te 4.953 0.000 7.760
Te 5.866 0.000 3.113
Te 5.415 2.586 10.031
Te 7.297 2.586 6.190
```

Summary:
Space group: Pm (6)

=====

b | ## Zn2Te (GGA-PBE)

Data for a geometry-optimized Zn2Te structure.

Cell and atoms, written as extended XYZ:
```
6
Lattice="6.179 0.000 0.000 -3.089 5.351 0.000 0.000 0.000 3.910" Properties=species:S:1:pos:R:3 pbc="T T T"
Zn 0.000 0.000 0.000
Zn -0.907 1.572 1.955
Zn 1.815 0.000 1.955
Zn 2.182 3.779 1.955
Te 0.000 3.567 0.000
Te 3.089 1.784 0.000
```

Summary:
Space group: P-62m (189)

=====

Order of stability, best first: a, b

=====

a | ## PrCdInTe3 (GGA-PBE)

Data for a geometry-optimized PrCdInTe3 structure.

Cell and atoms, written as extended XYZ:
```
24
Lattice="11.966 0.000 0.000 0.000 4.539 0.000 0.000 0.000 15.309" Properties=species:S:1:pos:R:3 pbc="T T T"
Pr 0.200 1.135 3.717
Pr 5.783 3.404 11.372
Pr 6.183 1.135 3.937
Pr 11.766 3.404 11.592
Cd 2.828 1.135 11.013
Cd 3.155 3.404 3.359
Cd 8.811 1.135 11.950
Cd 9.138 3.404 4.296
In 2.610 3.404 7.804
In 3.373 1.135 0.150
In 8.593 3.404 15.160
In 9.356 1.135 7.505
Te 0.482 1.135 9.399
Te 0.954 3.404 1.582
Te 2.834 3.404 12.809
Te 3.149 1.135 5.154
Te 5.029 1.135 9.237
Te 5.502 3.404 1.744
Te 6.465 1.135 13.565
Te 6.937 3.404 6.073
Te 8.817 3.404 10.155
Te 9.132 1.135 2.500
Te 11.012 1.135 13.727
Te 11.485 3.404 5.911
```

Summary:
Space group: Pnma (62)

=====

b | ## PrCdInTe3 (GGA-PBE)

Data for a geometry-optimized PrCdInTe3 structure.

Cell and atoms, written as extended XYZ:
```
12
Lattice="8.807 0.000 0.000 0.000 4.561 0.000 -3.055 0.000 10.825" Properties=species:S:1:pos:R:3 pbc="T T T"
Pr 1.289 1.140 1.510
Pr 4.463 3.421 9.315
Cd 2.511 3.421 4.228
Cd 3.241 1.140 6.597
In -0.056 3.421 7.755
In 5.808 1.140 3.070
Te -2.087 1.140 9.187
Te 0.835 1.140 4.844
Te 3.545 3.421 1.589
Te 2.208 1.140 9.236
Te 4.918 3.421 5.981
Te 7.840 3.421 1.638
```

Summary:
Space group: P2_1/m (11)

=====

Order of stability, best first: a, b

=====

a | ## PmRePb (GGA-PBE)

Data for a geometry-optimized PmRePb structure.

Cell and atoms, written as extended XYZ:
```
3
Lattice="0.000 3.414 3.414 3.414 0.000 3.414 3.414 3.414 0.000" Properties=species:S:1:pos:R:3 pbc="T T T"
Pm 0.000 0.000 0.000
Re 3.414 3.414 3.414
Pb 1.707 1.707 1.707
```

Summary:
Space group: F-43m (216)

=====

b | ## PmRePb (GGA-PBE)

Data for a geometry-optimized PmRePb structure.

Cell and atoms, written as extended XYZ:
```
3
Lattice="0.000 3.506 3.506 3.506 0.000 3.506 3.506 3.506 0.000" Properties=species:S:1:pos:R:3 pbc="T T T"
Pm 0.000 0.000 0.000
Re 1.753 1.753 1.753
Pb 5.259 5.259 5.259
```

Summary:
Space group: F-43m (216)

=====

Order of stability, best first: a, b

=====

a | ## ScBe2Co2 (GGA-PBE)

Data for a geometry-optimized ScBe2Co2 structure.

Cell and atoms, written as extended XYZ:
```
5
Lattice="-1.902 1.902 3.984 1.902 -1.902 3.984 1.902 1.902 -3.984" Properties=species:S:1:pos:R:3 pbc="T T T"
Sc 0.000 0.000 0.000
Be 0.000 0.000 2.891
Be 0.000 0.000 5.078
Co 1.902 0.000 1.992
Co 0.000 1.902 1.992
```

Summary:
Space group: I4/mmm (139)

=====

b | ## ScBe2Co2 (GGA-PBE)

Data for a geometry-optimized ScBe2Co2 structure.

Cell and atoms, written as extended XYZ:
```
5
Lattice="-1.812 1.812 4.505 1.812 -1.812 4.505 1.812 1.812 -4.505" Properties=species:S:1:pos:R:3 pbc="T T T"
Sc 0.000 0.000 0.000
Be 1.812 0.000 2.253
Be 0.000 1.812 2.253
Co 0.000 0.000 3.401
Co 0.000 0.000 5.609
```

Summary:
Space group: I4/mmm (139)

=====

Order of stability, best first: a, b